Density functional theory data (GGA-PBE) for an optimized crystal structure of La2ZnHOs.

Lattice parameters (Å, degrees): 5.1768 5.1768 3.7664 90.00 90.00 90.00
Last column: nearest neighbours and their distance in Å.
Space group P4/mmm (No. 123)
Symmetry-distinct sites (fractional):
1 La 0.0000 0.5000 0.0000 (multiplicity 2)  2 H 2.59
2 Zn 0.0000 0.0000 0.5000 (multiplicity 1)  8 La 3.20
3 H 0.5000 0.5000 0.0000 (multiplicity 1)  2 Os 1.88
4 Os 0.5000 0.5000 0.5000 (multiplicity 1)  2 H 1.88

Computed properties:
Crystal system = tetragonal
N(E_F) = 2.35 states/eV per cell
Energy = -0.1965 Ha/atom
M_tot = 0.00 μB per cell